The following is a DFT calculation (PBE) of a relaxed structure of La3Pr8Tm4.

Lattice parameters (Å, degrees): 6.9652 9.4444 9.4444 82.15 112.58 112.58
With the nearest neighbours (Å) after each atom.
Element x y z (fractional)
1 La 0.5000 0.5000 0.0000  8 Pr 3.47-3.84, 2 Tm 3.48
2 La 0.5000 0.0000 0.5000  8 Pr 3.47-3.84, 2 Tm 3.48
3 La 0.5000 0.5000 0.5000  4 Pr 3.15-3.17
4 Pr 0.7564 0.2961 0.2961  3 Pr 3.31-3.59, 2 La 3.47, 1 Tm 3.65
5 Pr 0.0000 0.7072 0.2928  2 La 3.53, 4 Pr 3.53-3.59, 3 Tm 3.60-3.63
6 Pr 0.1693 0.2442 0.2442  3 Tm 3.05-3.33, 1 La 3.17, 1 Pr 3.31
7 Pr 0.5000 0.7535 0.2465  1 Tm 3.06, 1 La 3.15
8 Pr 0.5000 0.2465 0.7535  1 Tm 3.06, 1 La 3.15
9 Pr 0.8307 0.7558 0.7558  3 Tm 3.05-3.33, 1 La 3.17, 1 Pr 3.31
10 Pr 0.0000 0.2928 0.7072  2 La 3.53, 4 Pr 3.53-3.59, 3 Tm 3.60-3.63
11 Pr 0.2436 0.7039 0.7039  3 Pr 3.31-3.59, 2 La 3.47, 1 Tm 3.65
12 Tm 0.5000 0.0000 0.0000  2 Pr 3.06
13 Tm 0.0000 0.5000 0.0000  6 Pr 3.33-3.60, 2 La 3.48
14 Tm 0.0000 0.0000 0.0000  2 Pr 3.05
15 Tm 0.0000 0.0000 0.5000  6 Pr 3.33-3.60, 2 La 3.48

=====

The following is a DFT calculation (PBE) of a relaxed structure of La2Pr3Tm.

Lattice parameters (Å, degrees): 3.4502 6.9602 17.7889 90.00 90.00 90.00
With the nearest neighbours (Å) after each atom.
Element x y z (fractional)
1 La 0.5000 0.7568 0.1600  1 Tm 3.36, 6 Pr 3.39-3.73, 2 La 3.45
2 La 0.0000 0.2568 0.3400  1 Tm 3.36, 6 Pr 3.39-3.73, 2 La 3.45
3 La 0.0000 0.7432 0.6600  1 Tm 3.36, 6 Pr 3.39-3.73, 2 La 3.45
4 La 0.5000 0.2432 0.8400  1 Tm 3.36, 6 Pr 3.39-3.73, 2 La 3.45
5 Pr 0.0000 0.0000 0.0000  6 Pr 3.45-3.86, 4 La 3.73
6 Pr 0.5000 0.5000 0.5000  6 Pr 3.45-3.86, 4 La 3.73
7 Pr 0.5000 0.7568 0.8309  4 La 3.39-3.58, 2 Pr 3.45, 1 Tm 3.50
8 Pr 0.5000 0.2432 0.1691  4 La 3.39-3.58, 2 Pr 3.45, 1 Tm 3.50
9 Pr 0.0000 0.2568 0.6691  4 La 3.39-3.58, 2 Pr 3.45, 1 Tm 3.50
10 Pr 0.0000 0.7432 0.3309  4 La 3.39-3.58, 2 Pr 3.45, 1 Tm 3.50
11 Tm 0.0000 0.0000 0.5000  2 La 3.36, 2 Tm 3.45, 2 Pr 3.50
12 Tm 0.5000 0.5000 0.0000  2 La 3.36, 2 Tm 3.45, 2 Pr 3.50

## Properties
energy relative to the lowest polymorph listed for this composition: 223 meV/atom

=====

The following is a DFT calculation (PBE) of a relaxed structure of LaPr12Tm5.

Lattice parameters (Å, degrees): 15.4582 10.9651 5.1824 90.00 90.00 45.18
With the nearest neighbours (Å) after each atom.
Element x y z (fractional)
1 La 0.0000 0.0000 0.0000  8 Pr 3.65-3.66, 4 Tm 3.69
2 Pr 0.8328 0.0000 0.5001  2 La 3.66, 8 Pr 3.68-3.69, 2 Tm 3.68
3 Pr 0.1672 0.0000 0.4999  2 La 3.66, 8 Pr 3.68-3.69, 2 Tm 3.68
4 Pr 0.6628 0.0000 0.0002  4 Tm 3.61-3.62, 8 Pr 3.66-3.73
5 Pr 0.3372 0.0000 0.9998  4 Tm 3.61-3.62, 8 Pr 3.66-3.73
6 Pr 0.3332 0.6641 0.9999  3 Tm 3.62-3.64, 1 La 3.65, 8 Pr 3.66-3.73
7 Pr 0.0027 0.6641 0.0001  3 Tm 3.62-3.64, 1 La 3.65, 8 Pr 3.66-3.73
8 Pr 0.9973 0.3359 0.9999  3 Tm 3.62-3.64, 1 La 3.65, 8 Pr 3.66-3.73
9 Pr 0.6668 0.3359 0.0001  3 Tm 3.62-3.64, 1 La 3.65, 8 Pr 3.66-3.73
10 Pr 0.4971 0.3323 0.5001  4 Tm 3.60-3.62, 8 Pr 3.66-3.74
11 Pr 0.8294 0.6677 0.5001  4 Tm 3.60-3.62, 8 Pr 3.66-3.74
12 Pr 0.1706 0.3323 0.4999  4 Tm 3.60-3.62, 8 Pr 3.66-3.74
13 Pr 0.5029 0.6677 0.4999  4 Tm 3.60-3.62, 8 Pr 3.66-3.74
14 Tm 0.5000 0.0000 0.5000  8 Pr 3.61, 4 Tm 3.67
15 Tm 0.1688 0.6624 0.5000  8 Pr 3.60-3.68, 2 Tm 3.64, 2 La 3.69
16 Tm 0.8312 0.3376 0.5000  8 Pr 3.60-3.68, 2 Tm 3.64, 2 La 3.69
17 Tm 0.6670 0.6659 0.0000  8 Pr 3.62, 4 Tm 3.64-3.67
18 Tm 0.3330 0.3341 0.0000  8 Pr 3.62, 4 Tm 3.64-3.67

=====

The following is a DFT calculation (PBE) of a relaxed structure of La2Pr12Tm5.

Lattice parameters (Å, degrees): 9.6986 11.6743 8.9210 128.30 90.00 114.54
With the nearest neighbours (Å) after each atom.
Element x y z (fractional)
1 La 0.6771 0.0000 0.0000  6 Pr 3.22-3.53, 2 Tm 3.40, 1 La 3.44
2 La 0.3229 0.0000 0.0000  6 Pr 3.22-3.53, 2 Tm 3.40, 1 La 3.44
3 Pr 0.0848 0.1697 0.2443  3 Pr 3.25-3.44, 2 La 3.53, 1 Tm 3.57
4 Pr 0.0804 0.7705 0.0801  1 La 3.22, 2 Tm 3.33-3.43, 1 Pr 3.49
5 Pr 0.6902 0.7705 0.0801  1 La 3.22, 2 Tm 3.33-3.43, 1 Pr 3.49
6 Pr 0.0734 0.6504 0.3836  4 Pr 3.36-3.73, 4 Tm 3.54-3.72
7 Pr 0.5770 0.6504 0.3836  4 Pr 3.36-3.73, 4 Tm 3.54-3.72
8 Pr 0.4737 0.9474 0.6217  3 Pr 3.04-3.36
9 Pr 0.5263 0.0526 0.3783  3 Pr 3.04-3.36
10 Pr 0.9266 0.3496 0.6164  4 Pr 3.36-3.73, 4 Tm 3.54-3.72
11 Pr 0.4230 0.3496 0.6164  4 Pr 3.36-3.73, 4 Tm 3.54-3.72
12 Pr 0.9196 0.2295 0.9199  1 La 3.22, 2 Tm 3.33-3.43, 1 Pr 3.49
13 Pr 0.3098 0.2295 0.9199  1 La 3.22, 2 Tm 3.33-3.43, 1 Pr 3.49
14 Pr 0.9152 0.8303 0.7557  3 Pr 3.25-3.44, 2 La 3.53, 1 Tm 3.57
15 Tm 0.3117 0.6233 0.6718  2 La 3.40, 1 Tm 3.44, 6 Pr 3.54-3.76
16 Tm 0.2868 0.5735 0.0144  9 Pr 3.43-3.73, 1 Tm 3.44
17 Tm 0.0000 0.0000 0.5000  4 Pr 3.33
18 Tm 0.7132 0.4265 0.9856  9 Pr 3.43-3.73, 1 Tm 3.44
19 Tm 0.6883 0.3767 0.3282  2 La 3.40, 1 Tm 3.44, 6 Pr 3.54-3.76

## Properties
energy relative to the lowest polymorph listed for this composition: 52 meV/atom

=====

The following is a DFT calculation (PBE) of a relaxed structure of La2Pr3Tm3.

Lattice parameters (Å, degrees): 3.6446 9.1717 17.0443 90.00 90.00 101.46
With the nearest neighbours (Å) after each atom.
Element x y z (fractional)
1 La 0.7879 0.5758 0.6487  4 Pr 3.43-3.63, 3 La 3.45-3.64, 3 Tm 3.52-3.74
2 La 0.2121 0.4242 0.1487  4 Pr 3.43-3.63, 3 La 3.45-3.64, 3 Tm 3.52-3.74
3 La 0.7879 0.5758 0.8513  4 Pr 3.43-3.63, 3 La 3.45-3.64, 3 Tm 3.52-3.74
4 La 0.2121 0.4242 0.3513  4 Pr 3.43-3.63, 3 La 3.45-3.64, 3 Tm 3.52-3.74
5 Pr 0.6417 0.2834 0.9803  3 La 3.43-3.63, 4 Tm 3.54-3.63, 2 Pr 3.64
6 Pr 0.3583 0.7166 0.4803  3 La 3.43-3.63, 4 Tm 3.54-3.63, 2 Pr 3.64
7 Pr 0.6417 0.2834 0.5197  3 La 3.43-3.63, 4 Tm 3.54-3.63, 2 Pr 3.64
8 Pr 0.3583 0.7166 0.0197  3 La 3.43-3.63, 4 Tm 3.54-3.63, 2 Pr 3.64
9 Pr 0.3892 0.7784 0.2500  1 Tm 3.34, 2 La 3.62, 2 Pr 3.64
10 Pr 0.6108 0.2216 0.7500  1 Tm 3.34, 2 La 3.62, 2 Pr 3.64
11 Tm 0.0092 0.0184 0.1004  5 Tm 3.35-3.64, 4 Pr 3.54-3.63, 1 La 3.74
12 Tm 0.9908 0.9816 0.6004  5 Tm 3.35-3.64, 4 Pr 3.54-3.63, 1 La 3.74
13 Tm 0.0092 0.0184 0.3996  5 Tm 3.35-3.64, 4 Pr 3.54-3.63, 1 La 3.74
14 Tm 0.9908 0.9816 0.8996  5 Tm 3.35-3.64, 4 Pr 3.54-3.63, 1 La 3.74
15 Tm 0.5747 0.1494 0.2500  1 Pr 3.34, 6 Tm 3.35-3.64, 4 La 3.52
16 Tm 0.4253 0.8506 0.7500  1 Pr 3.34, 6 Tm 3.35-3.64, 4 La 3.52

## Properties
energy relative to the lowest polymorph listed for this composition: 88 meV/atom

=====

The following is a DFT calculation (PBE) of a relaxed structure of La2Pr12Tm5.

Lattice parameters (Å, degrees): 9.5027 11.7615 6.6297 89.45 90.00 113.83
With the nearest neighbours (Å) after each atom.
Element x y z (fractional)
1 La 0.7984 0.0000 0.0000  6 Pr 3.53-3.90, 4 Tm 3.63-3.83, 1 La 3.83
2 La 0.2016 0.0000 0.0000  6 Pr 3.53-3.90, 4 Tm 3.63-3.83, 1 La 3.83
3 Pr 0.1340 0.2679 0.0980  1 Tm 3.33, 4 Pr 3.50-3.71, 2 La 3.53
4 Pr 0.1238 0.5912 0.8330  4 Pr 3.26-3.52, 3 Tm 3.56-3.62
5 Pr 0.4673 0.5912 0.8330  4 Pr 3.26-3.52, 3 Tm 3.56-3.62
6 Pr 0.0504 0.7280 0.3930  4 Tm 3.50-3.68, 6 Pr 3.52-3.85, 1 La 3.90
7 Pr 0.6777 0.7280 0.3930  4 Tm 3.50-3.68, 6 Pr 3.52-3.85, 1 La 3.90
8 Pr 0.4412 0.8824 0.6579  1 Pr 3.27, 3 Tm 3.34-3.57
9 Pr 0.5588 0.1176 0.3421  1 Pr 3.27, 3 Tm 3.34-3.57
10 Pr 0.9496 0.2720 0.6070  4 Tm 3.50-3.68, 6 Pr 3.52-3.85, 1 La 3.90
11 Pr 0.3223 0.2720 0.6070  4 Tm 3.50-3.68, 6 Pr 3.52-3.85, 1 La 3.90
12 Pr 0.8762 0.4088 0.1670  4 Pr 3.26-3.52, 3 Tm 3.56-3.62
13 Pr 0.5327 0.4088 0.1670  4 Pr 3.26-3.52, 3 Tm 3.56-3.62
14 Pr 0.8660 0.7321 0.9020  1 Tm 3.33, 4 Pr 3.50-3.71, 2 La 3.53
15 Tm 0.2647 0.5293 0.3622  1 Tm 3.31, 9 Pr 3.33-3.68
16 Tm 0.4047 0.8095 0.1496  1 Tm 3.31, 7 Pr 3.34-3.57, 2 La 3.63
17 Tm 0.0000 0.0000 0.5000  6 Pr 3.50-3.91, 4 La 3.83
18 Tm 0.5953 0.1905 0.8504  1 Tm 3.31, 7 Pr 3.34-3.57, 2 La 3.63
19 Tm 0.7353 0.4707 0.6378  1 Tm 3.31, 9 Pr 3.33-3.68

## Properties
energy relative to the lowest polymorph listed for this composition: 0 meV/atom

=====

The following is a DFT calculation (PBE) of a relaxed structure of La12PrTm7.

Lattice parameters (Å, degrees): 6.3665 11.4824 11.4824 116.66 100.65 100.65
With the nearest neighbours (Å) after each atom.
Element x y z (fractional)
1 La 0.0928 0.5924 0.1847  3 La 3.29-3.61, 2 Tm 3.38
2 La 0.0920 0.1847 0.5924  3 La 3.29-3.61, 2 Tm 3.38
3 La 0.5683 0.6448 0.0002  1 La 3.28, 4 Tm 3.34-3.64
4 La 0.4320 0.0002 0.3554  1 La 3.28, 4 Tm 3.34-3.64
5 La 0.4996 0.4076 0.5924  3 La 3.29-3.61, 2 Tm 3.38
6 La 0.0766 0.6446 0.6448  1 La 3.28, 4 Tm 3.34-3.64
7 La 0.9234 0.3554 0.3552  1 La 3.28, 4 Tm 3.34-3.64
8 La 0.5004 0.5924 0.4076  3 La 3.29-3.61, 2 Tm 3.38
9 La 0.5680 0.9998 0.6446  1 La 3.28, 4 Tm 3.34-3.64
10 La 0.4317 0.3552 0.9998  1 La 3.28, 4 Tm 3.34-3.64
11 La 0.9080 0.8153 0.4076  3 La 3.29-3.61, 2 Tm 3.38
12 La 0.9072 0.4076 0.8153  3 La 3.29-3.61, 2 Tm 3.38
13 Pr 0.0000 0.0000 0.0000  8 Tm 3.07-3.18
14 Tm 0.1153 0.7524 0.0002  1 Pr 3.07, 3 La 3.34-3.38, 1 Tm 3.39
15 Tm 0.8849 0.0002 0.2478  1 Pr 3.07, 3 La 3.34-3.38, 1 Tm 3.39
16 Tm 0.6371 0.7522 0.7524  1 Pr 3.07, 3 La 3.34-3.38, 1 Tm 3.39
17 Tm 0.5000 0.0000 0.0000  2 Pr 3.18, 6 Tm 3.39
18 Tm 0.3629 0.2478 0.2476  1 Pr 3.07, 3 La 3.34-3.38, 1 Tm 3.39
19 Tm 0.1151 0.9998 0.7522  1 Pr 3.07, 3 La 3.34-3.38, 1 Tm 3.39
20 Tm 0.8847 0.2476 0.9998  1 Pr 3.07, 3 La 3.34-3.38, 1 Tm 3.39

## Properties
energy relative to the lowest polymorph listed for this composition: 129 meV/atom

=====

The following is a DFT calculation (PBE) of a relaxed structure of La3Pr8Tm.

Lattice parameters (Å, degrees): 8.6328 8.6328 8.6328 94.54 117.41 117.41
With the nearest neighbours (Å) after each atom.
Element x y z (fractional)
1 La 0.5000 0.7500 0.2500  4 Pr 3.56
2 La 0.5000 0.2500 0.7500  4 Pr 3.56
3 La 0.0000 0.5000 0.5000  8 Pr 3.20-3.33
4 Pr 0.4956 0.2410 0.2410  1 Tm 3.14, 1 La 3.20, 2 Pr 3.31-3.39
5 Pr 0.5044 0.7454 0.7454  1 Tm 3.14, 1 La 3.20, 2 Pr 3.31-3.39
6 Pr 0.0000 0.7590 0.2546  1 Tm 3.14, 1 La 3.20, 2 Pr 3.31-3.39
7 Pr 0.0000 0.2546 0.7590  1 Tm 3.14, 1 La 3.20, 2 Pr 3.31-3.39
8 Pr 0.2448 0.3708 0.3708  3 Pr 3.10-3.39, 1 Tm 3.30, 1 La 3.33
9 Pr 0.7552 0.1260 0.1260  3 Pr 3.10-3.39, 1 Tm 3.30, 1 La 3.33
10 Pr 0.0000 0.6292 0.8740  3 Pr 3.10-3.39, 1 Tm 3.30, 1 La 3.33
11 Pr 0.0000 0.8740 0.6292  3 Pr 3.10-3.39, 1 Tm 3.30, 1 La 3.33
12 Tm 0.0000 0.0000 0.0000  8 Pr 3.14-3.30

=====

The following is a DFT calculation (PBE) of a relaxed structure of La5PrTm6.

Lattice parameters (Å, degrees): 5.2252 9.7761 9.5985 120.61 105.80 90.00
With the nearest neighbours (Å) after each atom.
Element x y z (fractional)
1 Pr 0.0000 0.0000 0.0000  8 Tm 3.57-3.58, 4 La 3.69
2 Tm 0.8338 0.5839 0.6675  1 Pr 3.57, 7 La 3.57-3.59, 4 Tm 3.69-3.70
3 Tm 0.8338 0.0836 0.6675  1 Pr 3.57, 7 La 3.57-3.59, 4 Tm 3.69-3.70
4 Tm 0.5000 0.7503 0.0000  6 La 3.57-3.58, 2 Pr 3.58, 4 Tm 3.69
5 Tm 0.5000 0.2497 0.0000  6 La 3.57-3.58, 2 Pr 3.58, 4 Tm 3.69
6 Tm 0.1662 0.9164 0.3325  1 Pr 3.57, 7 La 3.57-3.59, 4 Tm 3.69-3.70
7 Tm 0.1662 0.4161 0.3325  1 Pr 3.57, 7 La 3.57-3.59, 4 Tm 3.69-3.70
8 La 0.6663 0.1663 0.3325  8 Tm 3.57-3.59, 2 Pr 3.69, 2 La 3.70
9 La 0.3330 0.3330 0.6660  8 Tm 3.58, 4 La 3.70
10 La 0.0000 0.5000 0.0000  8 Tm 3.57-3.58, 4 La 3.70
11 La 0.6670 0.6670 0.3340  8 Tm 3.58, 4 La 3.70
12 La 0.3337 0.8337 0.6675  8 Tm 3.57-3.59, 2 Pr 3.69, 2 La 3.70

=====

In the order shown, the computed raw total energy values come out to -4.413 -4.547 -4.676 -4.521 -4.590 -4.573 -4.545 -4.285 -4.663 eV per atom.
In the order shown, the computed energy relative to the elements values come out to 314 230 26 193 111 141 215 506 25 meV per atom.